1.
MgNiMo2 at its PBEsol-relaxed geometry, computed with meta-GGA SCAN.

DFT total energy   -90.103 eV/f.u.
Energy relative to the elements   0.204 eV/atom
SG   Pmmm
DOS at the Fermi energy   0.746 states/eV per atom

Cell: 3.1939 3.9978 4.5031 Å, 90.00 90.00 90.00°
Closest atoms and distances in Å follow each position.
Fractional positions:
Mg  0.0000  0.0000  0.0000  4 Ni 2.56, 4 Mo 2.76
Ni  0.5000  0.5000  0.0000  4 Mg 2.56, 4 Mo 2.76
Mo  0.0000  0.5000  0.5000  4 Mo 2.56, 4 Ni 2.76
Mo  0.5000  0.0000  0.5000  4 Mo 2.56, 4 Mg 2.76

---

2.
MgNiMo2 at its PBEsol-relaxed geometry, computed with meta-GGA SCAN.

DFT total energy   -89.793 eV/f.u.
Energy relative to the elements   0.281 eV/atom
SG   Cm
DOS at the Fermi energy   0.742 states/eV per atom

Cell: 4.6873 4.6873 5.0036 Å, 97.11 97.11 32.21°
Closest atoms and distances in Å follow each position.
Fractional positions:
Mg  0.0000  0.0000  0.0000  2 Mg 2.60, 3 Ni 2.63-2.66, 7 Mo 2.70-2.91
Ni  0.7462  0.7462  0.2067  2 Ni 2.60, 3 Mg 2.63-2.66, 6 Mo 2.63-2.88
Mo  0.2359  0.2359  0.7176  3 Mo 2.53-2.60, 1 Mg 2.70, 2 Ni 2.76
Mo  0.4687  0.4687  0.4846  3 Mo 2.53-2.60, 2 Ni 2.63, 2 Mg 2.80